## MnAlGa4 (PBE)

Data for a relaxed structure of MnAlGa4.

```
MnAlGa4
1.0
5.661 0.000 -2.888
-1.473 5.466 -2.888
-0.174 -0.227 6.652
Al Ga Mn
2 8 2
direct
0.500 0.500 0.000
0.000 0.000 0.000
0.300 0.486 0.286
0.014 0.200 0.714
0.700 0.514 0.714
0.200 0.700 0.714
0.800 0.300 0.286
0.514 0.014 0.714
0.486 0.986 0.286
0.986 0.800 0.286
0.750 0.750 0.500
0.250 0.250 0.500
```

Output
The calculation puts the calculated formation energy at -0.07 eV/atom. The calculation puts the offset from the most stable computed form at 0 meV/atom.

## CaTb2Zr3N6 (PBE)

Data for a relaxed structure of CaTb2Zr3N6.

```
CaTb2Zr3N6
1.0
3.343 0.000 0.000
0.000 6.770 0.180
-1.672 -2.017 7.076
N Zr Tb Ca
6 3 2 1
direct
0.673 0.072 0.345
0.327 0.928 0.655
0.662 0.593 0.325
0.338 0.407 0.675
0.995 0.267 0.990
0.005 0.733 0.010
0.500 0.500 0.000
0.835 0.167 0.669
0.165 0.833 0.331
0.834 0.670 0.669
0.166 0.330 0.331
0.500 0.000 0.000
```

Output
The calculation puts the formation energy (no corrections) at -1.644 eV per atom.

## TaAlOs2 (PBE)

Data for a relaxed structure of TaAlOs2.

```
TaAlOs2
1.0
-3.602 -2.099 5.541
5.621 -3.263 2.418
1.760 -0.381 5.339
Os Ta Al
4 2 2
direct
0.131 0.625 0.250
0.619 0.125 0.250
0.375 0.381 0.750
0.875 0.869 0.750
0.750 0.250 0.500
0.000 0.000 0.000
0.500 0.500 0.000
0.250 0.750 0.500
```

Output
The calculation puts the calculated formation energy at 0.55 eV/atom. The calculation puts the offset from the most stable computed form at 1096 meV/atom.

## Pr6Ir2SBr3 (PBE)

Data for a relaxed structure of Pr6Ir2SBr3.

```
Pr6Ir2SBr3
1.0
-2.507 -4.808 -4.951
7.221 1.154 0.663
-1.149 -4.392 6.654
Pr Ir Br S
6 2 3 1
direct
0.067 0.415 0.199
0.933 0.585 0.801
0.415 0.067 0.199
0.585 0.933 0.801
0.718 0.718 0.198
0.282 0.282 0.802
0.667 0.333 0.000
0.333 0.667 0.000
0.837 0.163 0.500
0.163 0.837 0.500
0.500 0.500 0.500
0.000 0.000 0.000
```

Output
The calculation puts the formation energy (no corrections) at -1.258 eV per atom.

## Y2GaN3 (PBE)

Data for a relaxed structure of Y2GaN3.

```
Y2GaN3
1.0
5.237 2.795 0.001
-5.237 2.795 0.001
0.000 0.781 11.398
N Y Ga
12 8 4
direct
0.161 0.526 0.375
0.974 0.026 0.250
0.388 0.612 0.750
0.902 0.697 0.024
0.697 0.902 0.524
0.474 0.839 0.125
0.839 0.474 0.625
0.612 0.388 0.250
0.526 0.161 0.875
0.026 0.974 0.750
0.303 0.098 0.476
0.098 0.303 0.976
0.028 0.448 0.148
0.887 0.671 0.427
0.972 0.552 0.852
0.552 0.972 0.352
0.448 0.028 0.648
0.671 0.887 0.927
0.113 0.329 0.573
0.329 0.113 0.073
0.273 0.279 0.338
0.279 0.273 0.838
0.727 0.721 0.662
0.721 0.727 0.162
```

Output
The calculation puts the formation energy (no corrections) at -1.113 eV per atom. The calculation puts the offset from the most stable computed form at 4 meV/atom.

## PuTi2Mo (PBE)

Data for a relaxed structure of PuTi2Mo.

```
PuTi2Mo
1.0
3.192 0.000 0.000
0.000 3.192 0.000
0.000 0.000 7.278
Pu Mo Ti
1 1 2
direct
0.500 0.500 0.500
0.500 0.500 0.000
0.000 0.000 0.797
0.000 0.000 0.203
```

Output
The calculation puts the calculated formation energy at 0.05 eV/atom. The calculation puts the offset from the most stable computed form at 0 meV/atom.